The following is a GGA-PBE calculation of a relaxed Ba3BBr3O3 crystal, from Alexandria via LeMat-Bulk.

POSCAR file:
```
Ba3BBr3O3
1.0
9.499 -0.002 -0.017
-4.213 8.463 0.014
-1.946 -1.580 12.914
Ba Br O B
12 12 12 4
Direct
0.266 0.044 0.420
0.358 0.993 0.105
0.242 0.419 0.018
0.169 0.491 0.357
0.175 0.003 0.767
0.613 0.472 0.248
0.642 0.007 0.895
0.387 0.528 0.752
0.825 0.997 0.233
0.734 0.956 0.580
0.758 0.581 0.982
0.831 0.509 0.643
0.059 0.734 0.212
0.000 0.000 0.000
0.878 0.795 0.423
0.482 0.861 0.349
0.800 0.298 0.407
0.122 0.205 0.577
0.133 0.686 0.901
0.500 0.500 0.500
0.867 0.314 0.099
0.518 0.139 0.651
0.941 0.266 0.788
0.200 0.702 0.593
0.303 0.406 0.217
0.654 0.702 0.128
0.871 0.805 0.696
0.513 0.675 0.954
0.425 0.098 0.923
0.362 0.188 0.258
0.346 0.298 0.872
0.575 0.902 0.077
0.697 0.594 0.783
0.638 0.812 0.742
0.129 0.195 0.304
0.487 0.325 0.046
0.576 0.757 0.053
0.424 0.243 0.947
0.262 0.259 0.256
0.738 0.741 0.744
```

Output
As for the crystal system: triclinic. The density of states at the Fermi level is 0.00 states/eV/f.u. For the raw total energy, the calculation gives -5.78 eV/atom. The uncorrected formation energy comes out at -2.55 eV/atom. Its space group is No. 2. For the total magnetization, the calculation gives 0.0 μB/cell.